# 1
BaGeHAu2, relaxed, DFT PBEsol; DOS at the Fermi energy = 1.67 states/eV/cell; VASP energy = -3.50 eV per atom; total magnetization = 0.00 μB/f.u.; mass density = 6.93 g cm⁻³
1.0
-1.661 -4.223 1.281
3.101 -2.090 -2.872
4.344 -0.234 4.861
Ge Ba Au H
1 1 2 1
Direct
0.000 0.000 0.000
0.000 0.000 0.500
0.000 0.500 0.000
0.500 0.000 0.000
0.500 0.500 0.500

***

# 2
BaGe2AuI, relaxed, DFT PBEsol; E_form (uncorrected) = -0.239 eV/atom; DOS at the Fermi energy = 2.95 states/eV/cell; total magnetization = 0.00 μB/f.u.; mass density = 6.24 g cm⁻³
1.0
-1.893 -4.248 -1.479
4.498 -1.785 -0.632
0.013 -2.232 6.395
I Ba Ge Au
1 1 2 1
Direct
0.500 0.500 0.500
0.000 0.000 0.500
0.000 0.500 0.000
0.500 0.000 0.000
0.000 0.000 0.000

***

# 3
Ba2H2Au, relaxed, DFT PBEsol; DOS at the Fermi energy = 2.13 states/eV/cell; VASP energy = -3.46 eV per atom; total magnetization = 0.00 μB/f.u.; mass density = 6.66 g cm⁻³
1.0
4.094 0.000 0.000
0.000 4.094 0.000
-2.047 -2.047 7.047
Ba H Au
2 2 1
Direct
0.640 0.640 0.280
0.360 0.360 0.720
0.250 0.750 0.500
0.750 0.250 0.500
0.000 0.000 0.000

***

# 4
BaH2Au2, relaxed, DFT PBEsol; DOS at the Fermi energy = 2.58 states/eV/cell; VASP energy = -3.24 eV per atom; total magnetization = 0.00 μB/f.u.; mass density = 8.06 g cm⁻³
1.0
3.645 0.000 0.000
0.000 7.763 0.000
0.000 0.000 7.763
Au H Ba
4 4 2
Direct
0.000 0.875 0.625
0.000 0.125 0.375
0.000 0.625 0.125
0.000 0.375 0.875
0.500 0.862 0.638
0.500 0.362 0.862
0.500 0.138 0.362
0.500 0.638 0.138
0.000 0.500 0.500
0.000 0.000 0.000

***

# 5
BaNaHAu2, relaxed, DFT PBEsol; DOS at the Fermi energy = 1.04 states/eV/cell; VASP energy = -2.75 eV per atom; total magnetization = 0.00 μB/f.u.; mass density = 5.24 g cm⁻³
1.0
-2.525 -0.878 -3.911
-4.828 -1.419 3.436
-1.809 5.817 -0.138
Ba Au Na H
1 2 1 1
Direct
0.000 0.000 0.000
0.000 0.000 0.500
0.000 0.500 0.000
0.500 0.500 0.500
0.500 0.000 0.000

***

# 6
BaH2RuAu, relaxed, DFT PBEsol; DOS at the Fermi energy = 3.45 states/eV/cell; VASP energy = -3.34 eV per atom; total magnetization = 0.97 μB/f.u.; mass density = 8.26 g cm⁻³
1.0
-0.043 -3.828 -1.232
4.020 -0.010 -0.110
0.138 -1.665 5.170
H Ru Ba Au
2 1 1 1
Direct
0.000 0.500 0.000
0.500 0.000 0.000
0.000 0.000 0.500
0.000 0.000 0.000
0.500 0.500 0.500